Record 1
Entry from Alexandria via LeMat-Bulk: a relaxed structure of Pm7Pr12Dy (GGA-PBE).

Summary:
ΔE to the lowest computed polymorph: 0.000 eV per atom

a = 12.4583 Å, b = 12.4583 Å, c = 16.0011 Å
α = 90.00°, β = 90.00°, γ = 120.00°
Space group R-3 (No. 148, hexagonal axes)
Asymmetric unit:
Pm  0.0000  0.0000  0.0000 (multiplicity 3)
Pm  0.0567  0.8698  0.2974 (multiplicity 18)
Pr  0.0228  0.5769  0.2214 (multiplicity 18)
Pr  0.0589  0.4680  0.5804 (multiplicity 18)
Dy  0.0000  0.0000  0.5000 (multiplicity 3)

---

Record 2
Entry from Alexandria via LeMat-Bulk: a relaxed structure of K5Rb2Na2Li (GGA-PBE).

a = 16.180 Å, b = 16.180 Å, c = 4.846 Å
α = 90.00°, β = 90.00°, γ = 90.00°
Space group P4/mbm (No. 127)
Asymmetric unit:
K  0.000  0.500  0.000 (multiplicity 2)
K  0.052  0.187  0.000 (multiplicity 8)
Rb  0.177  0.677  0.500 (multiplicity 4)
Na  0.135  0.365  0.500 (multiplicity 4)
Li  0.000  0.000  0.500 (multiplicity 2)

---

Per-record energy relative to the elements, eV per atom: 0.2137 0.0580
Per-record V, A^3/atom: 35.8 63.4